meta-GGA SCAN Ta2Fe, single point on PBEsol structure; ρ = 15.21 g/cm3; calculated formation energy = -0.088 eV per atom; uncorrected energy = -151.56 eV/cell; total magnetic moment = 0.795 Bohr magnetons per cell
1.0
-0.191 -3.057 0.236
0.327 0.214 3.047
-4.864 1.760 -1.151
Ta Fe
2 1
direct
0.345 0.345 0.689
0.655 0.655 0.311
0.000 0.000 0.000